No. 1
Entry from the Alexandria database: KMnHg after structural relaxation (PBE).

```
data_KMnHg
_cell_length_a 7.7812
_cell_length_b 7.7812
_cell_length_c 7.7812
_cell_angle_alpha 90.00
_cell_angle_beta 90.00
_cell_angle_gamma 90.00
_space_group_name_H-M_alt 'F -4 3 m'
_space_group_IT_number 216
_space_group_name_Hall 'F -4 2 3'
loop_
_atom_site_label
_atom_site_fract_x
_atom_site_fract_y
_atom_site_fract_z
_atom_site_occupancy
K1 0.0000 0.0000 0.0000 1
Mn1 0.2500 0.2500 0.2500 1
Hg1 0.2500 0.2500 0.7500 1
```

DOS at the Fermi energy = 15.11 states/eV per cell
energy relative to the lowest polymorph listed for this composition = 540 meV/atom
theoretical density = 4.2 g/cm3
total magnetic moment = 18.09 μB/cell
raw total energy = -2.6222 eV per atom
formation enthalpy at 0 K = 0.9008 eV/atom

***

No. 2
Entry from the Alexandria database: KMn2Hg after structural relaxation (PBE).

```
data_KMn2Hg
_cell_length_a 3.2115
_cell_length_b 5.3294
_cell_length_c 5.3833
_cell_angle_alpha 90.00
_cell_angle_beta 90.00
_cell_angle_gamma 90.00
_space_group_name_H-M_alt 'P m m m'
_space_group_IT_number 47
_space_group_name_Hall '-P 2 2'
loop_
_atom_site_label
_atom_site_fract_x
_atom_site_fract_y
_atom_site_fract_z
_atom_site_occupancy
K1 0.0000 0.0000 0.0000 1
Mn1 0.0000 0.5000 0.5000 1
Mn2 0.5000 0.0000 0.5000 1
Hg1 0.5000 0.5000 0.0000 1
```

DOS at the Fermi energy = 3.31 states/eV per cell
theoretical density = 6.3 g/cm3
total magnetic moment = 8.18 μB/cell
raw total energy = -4.1156 eV per atom
formation enthalpy at 0 K = 0.8190 eV/atom

***

No. 3
Entry from the Alexandria database: KMnHgMo2 after structural relaxation (PBE).

```
data_KMnHgMo2
_cell_length_a 5.1220
_cell_length_b 5.1220
_cell_length_c 4.9624
_cell_angle_alpha 90.00
_cell_angle_beta 90.00
_cell_angle_gamma 90.00
_space_group_name_H-M_alt 'P 4/m m m'
_space_group_IT_number 123
_space_group_name_Hall '-P 4 2'
loop_
_atom_site_label
_atom_site_fract_x
_atom_site_fract_y
_atom_site_fract_z
_atom_site_occupancy
K1 0.0000 0.0000 0.0000 1
Mn1 0.5000 0.5000 0.0000 1
Hg1 0.5000 0.5000 0.5000 1
Mo1 0.0000 0.5000 0.5000 1
```

DOS at the Fermi energy = 10.50 states/eV per cell
theoretical density = 6.2 g/cm3
total magnetic moment = 0.59 μB/cell
raw total energy = -3.9124 eV per atom
formation enthalpy at 0 K = 2.5338 eV/atom

***

> Look up the DOS at the Fermi energy of the second one.

3.31 states/eV per cell

***

> Which value of DOS at the Fermi energy does entry 2 give?

3.31 states/eV per cell